Entry 1:
PmEr2TeO8: optimized geometry, PBE.

Cell: 4.9934 6.9800 4.9951 Å, 90.00 90.64 90.00°
Space group P2/m (No. 10)
Inequivalent atoms, fractional coordinates:
Pm1 0.0000 0.0000 0.0000
Er1 0.5000 0.2596 0.5000
Te1 0.0000 0.5000 0.0000
O1 0.1845 0.2925 0.8145
O2 0.2792 0.5000 0.2781
O3 0.3209 0.0000 0.3194

As for the total energy: -7.234 eV/atom.

=====

Entry 2:
Pm2ErTe2O2: optimized geometry, PBE.

Cell: 4.3485 4.3485 16.6911 Å, 90.00 90.00 90.00°
Space group I4/mmm (No. 139)
Inequivalent atoms, fractional coordinates:
Pm1 0.0000 0.0000 0.1080
Er1 0.0000 0.0000 0.5000
Te1 0.0000 0.0000 0.3182
O1 0.0000 0.5000 0.0000

As for the total energy: -6.516 eV/atom.

=====

Entry 3:
PmErTeO2: optimized geometry, PBE.

Cell: 6.8815 4.1176 7.8406 Å, 90.00 107.15 90.00°
Space group P2_1/m (No. 11)
Inequivalent atoms, fractional coordinates:
Pm1 0.1774 0.2500 0.4247
Er1 0.1555 0.2500 0.9127
Te1 0.4518 0.7500 0.7503
O1 0.0102 0.7500 0.8847
O2 0.0170 0.7500 0.3722

As for the total energy: -7.419 eV/atom.

=====

Entry 4:
PmErTe2O: optimized geometry, PBE.

Cell: 4.1849 4.1849 15.6768 Å, 90.00 90.00 90.00°
Space group P4/nmm (No. 129, origin choice 2)
Inequivalent atoms, fractional coordinates:
Pm1 0.2500 0.2500 0.0700
Er1 0.2500 0.2500 0.6288
Te1 0.2500 0.2500 0.4156
Te2 0.2500 0.2500 0.8098
O1 0.2500 0.7500 0.0000

As for the total energy: -6.167 eV/atom.

=====

Entry 5:
PmErTeO6: optimized geometry, PBE.

Cell: 5.5556 5.5556 9.7964 Å, 90.00 90.00 120.00°
Space group P-31c (No. 163)
Inequivalent atoms, fractional coordinates:
Pm1 0.0000 0.0000 0.0000
Er1 0.3333 0.6667 0.2500
Te1 0.3333 0.6667 0.7500
O1 0.0396 0.3763 0.6379

As for the total energy: -7.150 eV/atom.

=====

Entry 6:
PmErTl2O6: optimized geometry, PBE.

Cell: 5.8646 5.8646 15.4581 Å, 90.00 90.00 120.00°
Space group R3 (No. 146, hexagonal axes)
Inequivalent atoms, fractional coordinates:
Pm1 0.0000 0.0000 0.0000
Er1 0.0000 0.0000 0.4947
Tl1 0.0000 0.0000 0.2771
Tl2 0.0000 0.0000 0.7805
O1 0.0070 0.7159 0.3928
O2 0.0367 0.3635 0.5569

As for the total energy: -6.431 eV/atom.